## LaSI (PBEsol)

Data for an optimized crystal structure of LaSI.

The structure in CIF format:
```
data_LaSI
_chemical_formula_sum 'La8 S8 I8'
_cell_length_a 6.960
_cell_length_b 14.505
_cell_length_c 7.300
_cell_angle_alpha 90.00
_cell_angle_beta 90.00
_cell_angle_gamma 90.00
_symmetry_space_group_name_H-M 'P 1'
_symmetry_Int_Tables_number 1
loop_
_symmetry_equiv_pos_as_xyz
'x,y,z'
loop_
_atom_site_label
_atom_site_type_symbol
_atom_site_fract_x
_atom_site_fract_y
_atom_site_fract_z
_atom_site_occupancy
La1 La 0.244 0.086 0.028 1
La2 La 0.244 0.414 0.528 1
La3 La 0.256 0.586 0.028 1
La4 La 0.256 0.914 0.528 1
La5 La 0.744 0.086 0.472 1
La6 La 0.744 0.414 0.972 1
La7 La 0.756 0.586 0.472 1
La8 La 0.756 0.914 0.972 1
S1 S 0.001 0.022 0.744 1
S2 S 0.001 0.478 0.244 1
S3 S 0.499 0.522 0.744 1
S4 S 0.499 0.978 0.244 1
S5 S 0.501 0.022 0.756 1
S6 S 0.501 0.478 0.256 1
S7 S 0.999 0.522 0.756 1
S8 S 0.999 0.978 0.256 1
I1 I 0.189 0.697 0.413 1
I2 I 0.189 0.803 0.913 1
I3 I 0.311 0.197 0.413 1
I4 I 0.311 0.303 0.913 1
I5 I 0.689 0.697 0.087 1
I6 I 0.689 0.803 0.587 1
I7 I 0.811 0.197 0.087 1
I8 I 0.811 0.303 0.587 1
```

Properties
The value obtained for the formation energy without anion corrections is -186 kJ per mole of atoms.


## InReAg2 (PBEsol)

Data for an optimized crystal structure of InReAg2.

The structure in CIF format:
```
data_InReAg2
_chemical_formula_sum 'In1 Re1 Ag2'
_cell_length_a 2.768
_cell_length_b 2.768
_cell_length_c 8.902
_cell_angle_alpha 90.00
_cell_angle_beta 90.00
_cell_angle_gamma 90.00
_symmetry_space_group_name_H-M 'P 1'
_symmetry_Int_Tables_number 1
loop_
_symmetry_equiv_pos_as_xyz
'x,y,z'
loop_
_atom_site_label
_atom_site_type_symbol
_atom_site_fract_x
_atom_site_fract_y
_atom_site_fract_z
_atom_site_occupancy
In1 In 0.000 0.000 0.000 1
Re1 Re 0.000 0.000 0.500 1
Ag1 Ag 0.500 0.500 0.264 1
Ag2 Ag 0.500 0.500 0.736 1
```

Properties
Its formation energy is 0.49 eV/atom.


Which E_tot belongs to each record? In order, -5.76; -5.24 eV per atom.